Rb2BaAsSe4 | PBE-GGA | optimized geometry

As for the crystal system: triclinic. The calculation puts the total energy at -3.8412 eV per atom.

abc: 9.1015 10.4969 8.7770
angles: 129.08 114.24 79.34
Fractional positions:
Se1 0.8508 0.2186 0.0198
Se2 0.8464 0.8074 0.4663
Se3 0.1663 0.1722 0.7909
Se4 0.6990 0.3663 0.4629
Se5 0.3434 0.3010 0.5484
Se6 0.3370 0.6498 0.5173
Se7 0.1921 0.7387 0.0676
Se8 0.6588 0.6874 0.0110
Ba1 0.0455 0.5522 0.5818
Ba2 0.9879 0.5030 0.0314
Rb1 0.9428 0.0170 0.2671
Rb2 0.4148 0.9994 0.0874
Rb3 0.4921 0.4829 0.1068
Rb4 0.4889 0.9723 0.5756
As1 0.5113 0.5024 0.6350
As2 0.0228 0.0294 0.8307